Below is crystalline NdEr3Rh at its relaxed geometry, with properties calculated at the PBE level.

Values from the calculation:
The formation energy comes out at -0.279 eV per atom. For the total energy, the calculation gives -5.4407 eV/atom. The space group is Pm-3m, No. 221.

a = 5.382 Å, b = 5.382 Å, c = 5.382 Å
α = 90.00°, β = 90.00°, γ = 90.00°
Fractional positions:
Rh: 0.000 0.000 0.000
Er: 0.500 0.000 0.000
Er: 0.000 0.500 0.000
Er: 0.000 0.000 0.500
Nd: 0.500 0.500 0.500

Below is crystalline PuPaBi6 at its relaxed geometry, with properties calculated at the PBE level.

Values from the calculation:
The formation energy comes out at -0.175 eV per atom. For the total energy, the calculation gives -6.0641 eV/atom. The space group is P4/mmm, No. 123.

a = 4.921 Å, b = 4.921 Å, c = 9.840 Å
α = 90.00°, β = 90.00°, γ = 90.00°
Site moments in Bohr magnetons follow the coordinates.
Fractional positions:
Pu: 0.000 0.000 0.000  5.47
Bi: 0.500 0.000 0.748  -0.02
Bi: 0.000 0.500 0.252  -0.02
Bi: 0.500 0.500 0.500  0.03
Bi: 0.500 0.500 0.000  -0.08
Bi: 0.000 0.500 0.748  -0.02
Bi: 0.500 0.000 0.252  -0.02
Pa: 0.000 0.000 0.500  -0.85

Below is crystalline Mg2MoAs at its relaxed geometry, with properties calculated at the PBE level.

Values from the calculation:
The formation energy comes out at 0.072 eV per atom. For the total energy, the calculation gives -4.5956 eV/atom. The space group is I-4m2, No. 119.

a = 5.158 Å, b = 5.158 Å, c = 5.158 Å
α = 134.92°, β = 134.92°, γ = 65.65°
Fractional positions:
Mo: 0.500 0.500 0.000
Mg: 0.250 0.750 0.500
Mg: 0.000 0.000 0.000
As: 0.750 0.250 0.500

Below is crystalline Ce2TmPuAs5 at its relaxed geometry, with properties calculated at the PBE level.

Values from the calculation:
The formation energy comes out at -0.556 eV per atom. For the total energy, the calculation gives -6.5471 eV/atom. The space group is P4/mmm, No. 123.

a = 4.934 Å, b = 4.934 Å, c = 10.712 Å
α = 90.00°, β = 90.00°, γ = 90.00°
Site moments in Bohr magnetons follow the coordinates.
Fractional positions:
Ce: 0.500 0.500 0.702  0.58
Ce: 0.500 0.500 0.298  0.58
Pu: 0.000 0.000 0.000  5.08
As: 0.500 0.000 0.500  -0.03
As: 0.000 0.500 0.500  -0.03
As: 0.000 0.000 0.248  -0.10
As: 0.500 0.500 0.000  -0.13
As: 0.000 0.000 0.752  -0.10
Tm: 0.000 0.000 0.500  -0.05

Below is crystalline MgTa3Ru at its relaxed geometry, with properties calculated at the PBE level.

Values from the calculation:
The formation energy comes out at 2.096 eV per atom. For the total energy, the calculation gives -7.1894 eV/atom. The space group is Pm-3m, No. 221.

a = 4.631 Å, b = 4.631 Å, c = 4.631 Å
α = 90.00°, β = 90.00°, γ = 90.00°
Fractional positions:
Mg: 0.000 0.000 0.000
Ta: 0.000 0.000 0.500
Ta: 0.000 0.500 0.000
Ta: 0.500 0.000 0.000
Ru: 0.500 0.500 0.500

Below is crystalline Ac5Ag2PdN at its relaxed geometry, with properties calculated at the PBE level.

Values from the calculation:
The formation energy (no corrections) comes out at -517 meV per atom. For the total energy, the calculation gives -4.9348 eV/atom. The space group is Cmc2_1, No. 36.

a = 4.289 Å, b = 9.946 Å, c = 14.252 Å
α = 90.00°, β = 90.00°, γ = 102.45°
Fractional positions:
Ac: 0.643 0.286 0.510
Ac: 0.357 0.714 0.010
Ac: 0.713 0.426 0.177
Ac: 0.679 0.359 0.878
Ac: 0.321 0.641 0.378
Ac: 0.040 0.079 0.010
Ac: 0.494 0.988 0.778
Ac: 0.960 0.921 0.510
Ac: 0.506 0.012 0.278
Ac: 0.287 0.574 0.677
Ag: 0.888 0.776 0.188
Ag: 0.112 0.224 0.688
Ag: 0.132 0.264 0.331
Ag: 0.868 0.736 0.831
Pd: 0.797 0.594 0.529
Pd: 0.203 0.406 0.029
N: 0.555 0.110 0.924
N: 0.445 0.890 0.424

Below is crystalline B2C at its relaxed geometry, with properties calculated at the PBE level.

Values from the calculation:
The formation energy comes out at 0.354 eV per atom. For the total energy, the calculation gives -7.1723 eV/atom. The space group is Cm, No. 8.

a = 6.193 Å, b = 6.193 Å, c = 5.736 Å
α = 70.53°, β = 70.53°, γ = 25.57°
Fractional positions:
C: 0.738 0.738 0.909
C: 0.658 0.658 0.186
C: 0.991 0.991 0.556
C: 0.416 0.416 0.999
B: 0.971 0.971 0.866
B: 0.305 0.305 0.913
B: 0.105 0.105 0.306
B: 0.360 0.360 0.294
B: 0.719 0.719 0.406
B: 0.120 0.120 0.616
B: 0.667 0.667 0.729
B: 0.449 0.449 0.470

Below is crystalline KDy4Tl5 at its relaxed geometry, with properties calculated at the PBE level.

Values from the calculation:
The formation energy comes out at -0.286 eV per atom. For the total energy, the calculation gives -3.4201 eV/atom. The space group is P4/mmm, No. 123.

a = 3.828 Å, b = 3.828 Å, c = 19.912 Å
α = 90.00°, β = 90.00°, γ = 90.00°
Fractional positions:
Tl: 0.500 0.500 0.500
Tl: 0.500 0.500 0.311
Tl: 0.500 0.500 0.872
Tl: 0.500 0.500 0.689
Tl: 0.500 0.500 0.128
Dy: 0.000 0.000 0.215
Dy: 0.000 0.000 0.785
Dy: 0.000 0.000 0.595
Dy: 0.000 0.000 0.405
K: 0.000 0.000 0.000

Below is crystalline Cs2MgAsI6 at its relaxed geometry, with properties calculated at the PBE level.

Values from the calculation:
The formation energy (no corrections) comes out at -870 meV per atom. For the total energy, the calculation gives -2.5951 eV/atom. The space group is I4/mmm, No. 139.

a = 8.429 Å, b = 8.429 Å, c = 8.427 Å
α = 59.99°, β = 59.99°, γ = 90.00°
Fractional positions:
As: 0.000 0.000 0.000
I: 0.249 0.249 0.000
I: 0.751 0.751 0.000
I: 0.751 0.249 0.000
I: 0.250 0.250 0.499
I: 0.249 0.751 0.000
I: 0.750 0.750 0.501
Cs: 0.250 0.750 0.500
Cs: 0.750 0.250 0.500
Mg: 0.500 0.500 0.000

Below is crystalline TaMnMo at its relaxed geometry, with properties calculated at the PBE level.

Values from the calculation:
The formation energy comes out at 0.067 eV per atom. For the total energy, the calculation gives -10.5511 eV/atom. The space group is P3m1, No. 156.

a = 4.353 Å, b = 4.353 Å, c = 2.752 Å
α = 90.00°, β = 90.00°, γ = 120.00°
Site moments in Bohr magnetons follow the coordinates.
Fractional positions:
Mn: 0.000 0.000 0.007  0.54
Mo: 0.667 0.333 0.320  -0.08
Ta: 0.333 0.667 0.672  -0.08

Below is crystalline Si3Ir2 at its relaxed geometry, with properties calculated at the PBE level.

Values from the calculation:
The formation energy (no corrections) comes out at -409 meV per atom. For the total energy, the calculation gives -7.2075 eV/atom. The space group is R-3c, No. 167.

a = 6.002 Å, b = 6.002 Å, c = 6.421 Å
α = 62.14°, β = 62.14°, γ = 60.00°
Fractional positions:
Ir: 0.664 0.664 0.008
Ir: 0.836 0.836 0.492
Ir: 0.336 0.336 0.992
Ir: 0.164 0.164 0.508
Si: 0.599 0.901 0.250
Si: 0.401 0.099 0.750
Si: 0.250 0.599 0.250
Si: 0.099 0.750 0.750
Si: 0.750 0.401 0.750
Si: 0.901 0.250 0.250

Below is crystalline Ho4Ga2H at its relaxed geometry, with properties calculated at the PBE level.

Values from the calculation:
For the total energy, the calculation gives -4.4447 eV/atom. The space group is P2_1/m, No. 11.

a = 6.048 Å, b = 6.564 Å, c = 8.643 Å
α = 90.00°, β = 110.85°, γ = 90.00°
Fractional positions:
Ho: 0.476 0.999 0.735
Ho: 0.926 0.250 0.626
Ho: 0.476 0.501 0.735
Ho: 0.524 0.499 0.265
Ho: 0.096 0.750 0.920
Ho: 0.074 0.750 0.374
Ho: 0.904 0.250 0.080
Ho: 0.524 0.001 0.265
Ga: 0.307 0.250 0.958
Ga: 0.235 0.250 0.427
Ga: 0.693 0.750 0.042
Ga: 0.765 0.750 0.573
H: 0.263 0.750 0.195
H: 0.737 0.250 0.805

Below is crystalline BeHgS2 at its relaxed geometry, with properties calculated at the PBE level.

Values from the calculation:
The formation energy (no corrections) comes out at 669 meV per atom. For the total energy, the calculation gives -2.4015 eV/atom. The space group is Fm-3m, No. 225.

a = 4.610 Å, b = 4.610 Å, c = 4.610 Å
α = 60.00°, β = 60.00°, γ = 60.00°
Fractional positions:
S: 0.750 0.750 0.750
S: 0.250 0.250 0.250
Hg: 0.500 0.500 0.500
Be: 0.000 0.000 0.000

Below is crystalline DyFeTe at its relaxed geometry, with properties calculated at the PBE level.

Values from the calculation:
The formation energy (no corrections) comes out at -398 meV per atom. For the total energy, the calculation gives -5.7997 eV/atom. The space group is R-3m, No. 166.

a = 3.812 Å, b = 3.812 Å, c = 12.330 Å
α = 81.11°, β = 81.11°, γ = 60.00°
Fractional positions:
Te: 0.717 0.717 0.849
Te: 0.283 0.283 0.151
Fe: 0.165 0.165 0.504
Fe: 0.835 0.835 0.496
Dy: 0.557 0.557 0.330
Dy: 0.443 0.443 0.670

Below is crystalline HfTaIrRh at its relaxed geometry, with properties calculated at the PBE level.

Values from the calculation:
The formation energy comes out at -0.589 eV per atom. For the total energy, the calculation gives -10.0933 eV/atom. The space group is F-43m, No. 216.

a = 4.580 Å, b = 4.580 Å, c = 4.580 Å
α = 60.00°, β = 60.00°, γ = 60.00°
Fractional positions:
Rh: 0.000 0.000 0.000
Ta: 0.750 0.750 0.750
Hf: 0.250 0.250 0.250
Ir: 0.500 0.500 0.500

Below is crystalline PrTh2Rh at its relaxed geometry, with properties calculated at the PBE level.

Values from the calculation:
The formation energy comes out at -0.304 eV per atom. For the total energy, the calculation gives -7.0468 eV/atom. The space group is P4/mmm, No. 123.

a = 3.676 Å, b = 3.676 Å, c = 8.374 Å
α = 90.00°, β = 90.00°, γ = 90.00°
Fractional positions:
Rh: 0.500 0.500 0.000
Th: 0.000 0.000 0.196
Th: 0.000 0.000 0.804
Pr: 0.500 0.500 0.500

Below is crystalline K5NaAu2 at its relaxed geometry, with properties calculated at the PBE level.

Values from the calculation:
The formation energy comes out at -0.142 eV per atom. For the total energy, the calculation gives -1.8125 eV/atom. The space group is Immm, No. 71.

a = 4.798 Å, b = 8.822 Å, c = 10.274 Å
α = 115.43°, β = 103.50°, γ = 90.00°
Fractional positions:
K: 0.345 0.605 0.690
K: 0.345 0.086 0.690
K: 0.655 0.395 0.310
K: 0.655 0.914 0.310
K: 0.000 0.500 0.000
Na: 0.000 0.000 0.000
Au: 0.806 0.306 0.612
Au: 0.194 0.694 0.388

Below is crystalline KTiPb3 at its relaxed geometry, with properties calculated at the PBE level.

Values from the calculation:
The formation energy comes out at -0.023 eV per atom. For the total energy, the calculation gives -4.0468 eV/atom. The space group is Pm-3m, No. 221.

a = 5.500 Å, b = 5.500 Å, c = 5.500 Å
α = 90.00°, β = 90.00°, γ = 90.00°
Fractional positions:
Pb: 0.000 0.500 0.000
Pb: 0.500 0.000 0.000
Pb: 0.000 0.000 0.500
Ti: 0.000 0.000 0.000
K: 0.500 0.500 0.500

Below is crystalline Mn2VCd at its relaxed geometry, with properties calculated at the PBE level.

Values from the calculation:
The formation energy comes out at 0.885 eV per atom. For the total energy, the calculation gives -6.2081 eV/atom. The space group is I-42d, No. 122.

a = 3.800 Å, b = 3.800 Å, c = 9.044 Å
α = 77.87°, β = 77.87°, γ = 90.00°
Site moments in Bohr magnetons follow the coordinates.
Fractional positions:
V: 0.500 0.500 0.000  -0.70
V: 0.250 0.750 0.500  -0.70
Cd: 0.750 0.250 0.500  -0.01
Cd: 0.000 0.000 0.000  -0.01
Mn: 0.375 0.474 0.750  0.39
Mn: 0.224 0.625 0.250  0.39
Mn: 0.875 0.776 0.750  0.39
Mn: 0.526 0.125 0.250  0.39

Below is crystalline SmY4Ho at its relaxed geometry, with properties calculated at the PBE level.

Values from the calculation:
The formation energy comes out at 0.147 eV per atom. For the total energy, the calculation gives -5.7122 eV/atom. The space group is C2/c, No. 15.

a = 6.449 Å, b = 9.078 Å, c = 8.595 Å
α = 112.73°, β = 100.12°, γ = 112.18°
Fractional positions:
Y: 0.047 0.169 0.749
Y: 0.362 0.899 0.610
Y: 0.252 0.289 0.390
Y: 0.748 0.711 0.610
Y: 0.798 0.421 0.251
Y: 0.202 0.579 0.749
Y: 0.638 0.101 0.390
Y: 0.953 0.831 0.251
Sm: 0.337 0.587 0.174
Sm: 0.663 0.413 0.826
Ho: 0.250 0.000 0.000
Ho: 0.750 0.000 0.000